(1)
Computed, not measured: a PBEsol-optimized structure of NaSc2SeBr at the meta-GGA SCAN level of DFT.

It has space group P4/mmm (No. 123), with a = 5.026 Å, b = 5.026 Å, c = 5.577 Å, α = 90.00°, β = 90.00° and γ = 90.00°. The inequivalent atoms are Na at (0.000, 0.000, 0.000), Sc at (0.000, 0.500, 0.500), Se at (0.000, 0.000, 0.500) and Br at (0.500, 0.500, 0.000).

For the calculated total energy, the calculation gives -14.965 eV/atom. Its total magnetization is 3.170 μB/f.u. The value obtained for the raw formation energy is -0.520 eV per atom.

(2)
Computed, not measured: a PBEsol-optimized structure of NaScTiBr2 at the meta-GGA SCAN level of DFT.

It has space group P4/mmm (No. 123), with a = 5.082 Å, b = 5.082 Å, c = 6.505 Å, α = 90.00°, β = 90.00° and γ = 90.00°. The inequivalent atoms are Na at (0.000, 0.000, 0.000), Sc at (0.000, 0.000, 0.500), Ti at (0.500, 0.500, 0.000) and Br at (0.000, 0.500, 0.500).

For the calculated total energy, the calculation gives -14.655 eV/atom. Its total magnetization is 3.908 μB/f.u. The value obtained for the raw formation energy is 0.026 eV per atom.

(3)
Computed, not measured: a PBEsol-optimized structure of Na3SeBr at the meta-GGA SCAN level of DFT.

It has space group Pm-3m (No. 221), with a = 5.248 Å, b = 5.248 Å, c = 5.248 Å, α = 90.00°, β = 90.00° and γ = 90.00°. The inequivalent atoms are Na at (0.000, 0.000, 0.500), Se at (0.500, 0.500, 0.500) and Br at (0.000, 0.000, 0.000).

For the calculated total energy, the calculation gives -11.506 eV/atom. Its total magnetization is 0.000 μB/f.u. The value obtained for the raw formation energy is -1.069 eV per atom.

(4)
Computed, not measured: a PBEsol-optimized structure of NaSeBr3 at the meta-GGA SCAN level of DFT.

It has space group Pm-3m (No. 221), with a = 5.350 Å, b = 5.350 Å, c = 5.350 Å, α = 90.00°, β = 90.00° and γ = 90.00°. The inequivalent atoms are Na at (0.000, 0.000, 0.000), Se at (0.500, 0.500, 0.500) and Br at (0.000, 0.000, 0.500).

For the calculated total energy, the calculation gives -16.524 eV/atom. Its total magnetization is 4.030 μB/f.u. The value obtained for the raw formation energy is 0.010 eV per atom.

(5)
Computed, not measured: a PBEsol-optimized structure of NaSnSeBr2 at the meta-GGA SCAN level of DFT.

It has space group P4/mmm (No. 123), with a = 5.115 Å, b = 5.115 Å, c = 5.322 Å, α = 90.00°, β = 90.00° and γ = 90.00°. The inequivalent atoms are Na at (0.000, 0.000, 0.000), Sn at (0.500, 0.500, 0.500), Se at (0.000, 0.000, 0.500) and Br at (0.000, 0.500, 0.000).

For the calculated total energy, the calculation gives -20.093 eV/atom. Its total magnetization is 1.007 μB/f.u. The value obtained for the raw formation energy is -0.266 eV per atom.

(6)
Computed, not measured: a PBEsol-optimized structure of NaZrSeBr2 at the meta-GGA SCAN level of DFT.

It has space group P4/mmm (No. 123), with a = 4.866 Å, b = 4.866 Å, c = 5.294 Å, α = 90.00°, β = 90.00° and γ = 90.00°. The inequivalent atoms are Na at (0.000, 0.000, 0.000), Zr at (0.500, 0.500, 0.500), Se at (0.000, 0.000, 0.500) and Br at (0.000, 0.500, 0.000).

For the calculated total energy, the calculation gives -19.006 eV/atom. Its total magnetization is 0.997 μB/f.u. The value obtained for the raw formation energy is -0.224 eV per atom.

(7)
Computed, not measured: a PBEsol-optimized structure of NaSnBr2 at the meta-GGA SCAN level of DFT.

It has space group I-42d (No. 122), with a = 5.642 Å, b = 5.642 Å, c = 17.288 Å, α = 90.00°, β = 90.00° and γ = 90.00°. The inequivalent atoms are Na at (0.000, 0.000, 0.000), Sn at (0.000, 0.000, 0.500) and Br at (0.243, 0.250, 0.125).

For the calculated total energy, the calculation gives -20.435 eV/atom. Its total magnetization is 0.000 μB/f.u. The value obtained for the raw formation energy is -0.671 eV per atom.

(8)
Computed, not measured: a PBEsol-optimized structure of NaSr2Br2 at the meta-GGA SCAN level of DFT.

It has space group I4/mmm (No. 139), with a = 5.992 Å, b = 5.992 Å, c = 10.508 Å, α = 90.00°, β = 90.00° and γ = 90.00°. The inequivalent atoms are Na at (0.000, 0.000, 0.000), Sr at (0.000, 0.500, 0.250) and Br at (0.000, 0.000, 0.324).

For the calculated total energy, the calculation gives -18.609 eV/atom. Its total magnetization is 0.842 μB/f.u. The value obtained for the raw formation energy is -1.072 eV per atom.

(9)
Computed, not measured: a PBEsol-optimized structure of Na3SrBr at the meta-GGA SCAN level of DFT.

It has space group Pm-3m (No. 221), with a = 5.876 Å, b = 5.876 Å, c = 5.876 Å, α = 90.00°, β = 90.00° and γ = 90.00°. The inequivalent atoms are Na at (0.000, 0.000, 0.500), Sr at (0.500, 0.500, 0.500) and Br at (0.000, 0.000, 0.000).

For the calculated total energy, the calculation gives -11.318 eV/atom. Its total magnetization is 0.743 μB/f.u. The value obtained for the raw formation energy is -0.442 eV per atom.

(10)
Computed, not measured: a PBEsol-optimized structure of NaSr2TiBr at the meta-GGA SCAN level of DFT.

It has space group P4/mmm (No. 123), with a = 6.563 Å, b = 6.563 Å, c = 4.891 Å, α = 90.00°, β = 90.00° and γ = 90.00°. The inequivalent atoms are Na at (0.000, 0.000, 0.000), Sr at (0.000, 0.500, 0.500), Ti at (0.500, 0.500, 0.500) and Br at (0.500, 0.500, 0.000).

For the calculated total energy, the calculation gives -16.721 eV/atom. Its total magnetization is 3.550 μB/f.u. The value obtained for the raw formation energy is 0.130 eV per atom.

(11)
Computed, not measured: a PBEsol-optimized structure of NaSrTl2Br at the meta-GGA SCAN level of DFT.

It has space group P4/mmm (No. 123), with a = 6.408 Å, b = 6.408 Å, c = 5.681 Å, α = 90.00°, β = 90.00° and γ = 90.00°. The inequivalent atoms are Na at (0.000, 0.000, 0.000), Sr at (0.500, 0.500, 0.500), Tl at (0.000, 0.500, 0.500) and Br at (0.500, 0.500, 0.000).

For the calculated total energy, the calculation gives -38.376 eV/atom. Its total magnetization is 0.000 μB/f.u. The value obtained for the raw formation energy is -0.243 eV per atom.

(12)
Computed, not measured: a PBEsol-optimized structure of NaTcWBr2 at the meta-GGA SCAN level of DFT.

It has space group P4/mmm (No. 123), with a = 4.826 Å, b = 4.826 Å, c = 5.624 Å, α = 90.00°, β = 90.00° and γ = 90.00°. The inequivalent atoms are Na at (0.000, 0.000, 0.000), Tc at (0.000, 0.000, 0.500), W at (0.500, 0.500, 0.000) and Br at (0.000, 0.500, 0.500).

For the calculated total energy, the calculation gives -27.936 eV/atom. Its total magnetization is 3.690 μB/f.u. The value obtained for the raw formation energy is 1.640 eV per atom.

(13)
Computed, not measured: a PBEsol-optimized structure of NaTiBr2 at the meta-GGA SCAN level of DFT.

It has space group Fm-3m (No. 225), with a = 6.967 Å, b = 6.967 Å, c = 6.967 Å, α = 90.00°, β = 90.00° and γ = 90.00°. The inequivalent atoms are Na at (0.000, 0.000, 0.000), Ti at (0.000, 0.000, 0.500) and Br at (0.250, 0.250, 0.250).

For the calculated total energy, the calculation gives -15.480 eV/atom. Its total magnetization is 2.951 μB/f.u. The value obtained for the raw formation energy is -0.689 eV per atom.

(14)
Computed, not measured: a PBEsol-optimized structure of NaTiBr2 at the meta-GGA SCAN level of DFT.

It has space group R-3m (No. 166, hexagonal axes), with a = 3.4414 Å, b = 3.4414 Å, c = 29.5368 Å, α = 90.00°, β = 90.00° and γ = 120.00°. The inequivalent atoms are Na at (0.0000, 0.0000, 0.0000), Ti at (0.0000, 0.0000, 0.5000) and Br at (0.0000, 0.0000, 0.1094).

For the calculated total energy, the calculation gives -15.623 eV/atom. Its total magnetization is 1.786 μB/f.u. The value obtained for the raw formation energy is -0.832 eV per atom.

(15)
Computed, not measured: a PBEsol-optimized structure of Na2TiBr at the meta-GGA SCAN level of DFT.

It has space group I-42d (No. 122), with a = 9.520 Å, b = 9.520 Å, c = 5.108 Å, α = 90.00°, β = 90.00° and γ = 90.00°. The inequivalent atoms are Na at (0.163, 0.750, 0.125), Ti at (0.000, 0.000, 0.500) and Br at (0.000, 0.000, 0.000).

For the calculated total energy, the calculation gives -10.926 eV/atom. Its total magnetization is 2.422 μB/f.u. The value obtained for the raw formation energy is 0.054 eV per atom.

(16)
Computed, not measured: a PBEsol-optimized structure of NaTlBr3 at the meta-GGA SCAN level of DFT.

It has space group Pm-3m (No. 221), with a = 5.664 Å, b = 5.664 Å, c = 5.664 Å, α = 90.00°, β = 90.00° and γ = 90.00°. The inequivalent atoms are Na at (0.000, 0.000, 0.000), Tl at (0.500, 0.500, 0.500) and Br at (0.000, 0.500, 0.500).

For the calculated total energy, the calculation gives -27.857 eV/atom. Its total magnetization is 0.000 μB/f.u. The value obtained for the raw formation energy is -0.866 eV per atom.

(17)
Computed, not measured: a PBEsol-optimized structure of NaTlBr2 at the meta-GGA SCAN level of DFT.

It has space group I-42d (No. 122), with a = 6.965 Å, b = 6.965 Å, c = 13.465 Å, α = 90.00°, β = 90.00° and γ = 90.00°. The inequivalent atoms are Na at (0.000, 0.000, 0.000), Tl at (0.000, 0.000, 0.500) and Br at (0.210, 0.250, 0.125).

For the calculated total energy, the calculation gives -30.077 eV/atom. Its total magnetization is 0.000 μB/f.u. The value obtained for the raw formation energy is -1.204 eV per atom.

(18)
Computed, not measured: a PBEsol-optimized structure of Na3TmBr6 at the meta-GGA SCAN level of DFT.

It has space group P2_1/c (No. 14), with a = 7.079 Å, b = 7.648 Å, c = 12.601 Å, α = 90.00°, β = 123.28° and γ = 90.00°. The inequivalent atoms are Na at (0.000, 0.000, 0.000), Na at (0.204, 0.094, 0.742), Tm at (0.500, 0.000, 0.500), Br at (0.117, 0.179, 0.432), Br at (0.256, 0.696, 0.422) and Br at (0.408, 0.058, 0.261).

For the calculated total energy, the calculation gives -19.998 eV/atom. Its total magnetization is 0.000 μB/f.u. The value obtained for the raw formation energy is -1.875 eV per atom.

(19)
Computed, not measured: a PBEsol-optimized structure of NaW2Br at the meta-GGA SCAN level of DFT.

It has space group Fm-3m (No. 225), with a = 6.401 Å, b = 6.401 Å, c = 6.401 Å, α = 90.00°, β = 90.00° and γ = 90.00°. The inequivalent atoms are Na at (0.000, 0.000, 0.000), W at (0.250, 0.250, 0.250) and Br at (0.000, 0.000, 0.500).

For the calculated total energy, the calculation gives -38.455 eV/atom. Its total magnetization is 2.451 μB/f.u. The value obtained for the raw formation energy is 2.307 eV per atom.

(20)
Computed, not measured: a PBEsol-optimized structure of NaY3Br at the meta-GGA SCAN level of DFT.

It has space group Pm-3m (No. 221), with a = 5.558 Å, b = 5.558 Å, c = 5.558 Å, α = 90.00°, β = 90.00° and γ = 90.00°. The inequivalent atoms are Na at (0.000, 0.000, 0.000), Y at (0.000, 0.000, 0.500) and Br at (0.500, 0.500, 0.500).

For the calculated total energy, the calculation gives -20.713 eV/atom. Its total magnetization is 0.001 μB/f.u. The value obtained for the raw formation energy is 0.728 eV per atom.

(21)
Computed, not measured: a PBEsol-optimized structure of Na2ZnBr at the meta-GGA SCAN level of DFT.

It has space group I-42d (No. 122), with a = 7.927 Å, b = 7.927 Å, c = 7.260 Å, α = 90.00°, β = 90.00° and γ = 90.00°. The inequivalent atoms are Na at (0.227, 0.750, 0.125), Zn at (0.000, 0.000, 0.500) and Br at (0.000, 0.000, 0.000).

For the calculated total energy, the calculation gives -10.858 eV/atom. Its total magnetization is 0.000 μB/f.u. The value obtained for the raw formation energy is -0.507 eV per atom.

(22)
Computed, not measured: a PBEsol-optimized structure of NaZnBr3 at the meta-GGA SCAN level of DFT.

It has space group Pm-3m (No. 221), with a = 5.134 Å, b = 5.134 Å, c = 5.134 Å, α = 90.00°, β = 90.00° and γ = 90.00°. The inequivalent atoms are Na at (0.000, 0.000, 0.000), Zn at (0.500, 0.500, 0.500) and Br at (0.000, 0.500, 0.500).

For the calculated total energy, the calculation gives -16.277 eV/atom. Its total magnetization is 0.000 μB/f.u. The value obtained for the raw formation energy is -1.055 eV per atom.

(23)
Computed, not measured: a PBEsol-optimized structure of Nb3Br8 at the meta-GGA SCAN level of DFT.

It has space group R-3m (No. 166, hexagonal axes), with a = 7.0347 Å, b = 7.0347 Å, c = 39.0951 Å, α = 90.00°, β = 90.00° and γ = 120.00°. The inequivalent atoms are Nb at (0.0620, 0.5310, 0.0828), Br at (0.0000, 0.0000, 0.2150), Br at (0.0000, 0.0000, 0.3660), Br at (0.0009, 0.5004, 0.2059) and Br at (0.0063, 0.5032, 0.6205).

For the calculated total energy, the calculation gives -24.218 eV/atom. Its total magnetization is 0.000 μB/f.u. The value obtained for the raw formation energy is -1.031 eV per atom.

(24)
Computed, not measured: a PBEsol-optimized structure of NbOsBr2 at the meta-GGA SCAN level of DFT.

It has space group R-3m (No. 166, hexagonal axes), with a = 3.1141 Å, b = 3.1141 Å, c = 25.7895 Å, α = 90.00°, β = 90.00° and γ = 120.00°. The inequivalent atoms are Nb at (0.0000, 0.0000, 0.0000), Os at (0.0000, 0.0000, 0.5000) and Br at (0.0000, 0.0000, 0.4077).

For the calculated total energy, the calculation gives -35.327 eV/atom. Its total magnetization is 0.000 μB/f.u. The value obtained for the raw formation energy is 0.655 eV per atom.

(25)
Computed, not measured: a PBEsol-optimized structure of Nb2Pb2Br at the meta-GGA SCAN level of DFT.

It has space group I4/mmm (No. 139), with a = 4.334 Å, b = 4.334 Å, c = 13.021 Å, α = 90.00°, β = 90.00° and γ = 90.00°. The inequivalent atoms are Nb at (0.000, 0.000, 0.092), Pb at (0.000, 0.500, 0.250) and Br at (0.000, 0.000, 0.500).

For the calculated total energy, the calculation gives -46.807 eV/atom. Its total magnetization is 0.001 μB/f.u. The value obtained for the raw formation energy is 0.650 eV per atom.

(26)
Computed, not measured: a PBEsol-optimized structure of Nb2SnPbBr at the meta-GGA SCAN level of DFT.

It has space group P4/mmm (No. 123), with a = 4.776 Å, b = 4.776 Å, c = 5.600 Å, α = 90.00°, β = 90.00° and γ = 90.00°. The inequivalent atoms are Nb at (0.000, 0.500, 0.000), Sn at (0.000, 0.000, 0.500), Pb at (0.500, 0.500, 0.500) and Br at (0.500, 0.500, 0.000).

For the calculated total energy, the calculation gives -38.247 eV/atom. Its total magnetization is 2.268 μB/f.u. The value obtained for the raw formation energy is 1.237 eV per atom.

(27)
Computed, not measured: a PBEsol-optimized structure of NbPtRh2Br at the meta-GGA SCAN level of DFT.

It has space group P4/mmm (No. 123), with a = 4.658 Å, b = 4.658 Å, c = 4.777 Å, α = 90.00°, β = 90.00° and γ = 90.00°. The inequivalent atoms are Nb at (0.000, 0.000, 0.000), Pt at (0.500, 0.500, 0.500), Rh at (0.000, 0.500, 0.000) and Br at (0.000, 0.000, 0.500).

For the calculated total energy, the calculation gives -36.820 eV/atom. Its total magnetization is 0.001 μB/f.u. The value obtained for the raw formation energy is 1.245 eV per atom.